(1)
The following is a DFT calculation (GGA-PBE) of YCrCl2 after structural relaxation.

Properties
* uncorrected energy: -0.2105 hartree per atom
* formation energy (no corrections): -3.1 eV/f.u.
* ΔE to the lowest computed polymorph: 36.6 meV/atom

abc: 3.431 3.431 8.335
angles: 90.00 90.00 90.00
Space group P4mm (No. 99)
Unique sites:
Y (0.000, 0.000, 0.000) (multiplicity 1)
Cr (0.500, 0.500, 0.744) (multiplicity 1)
Cl (0.000, 0.000, 0.602) (multiplicity 1)
Cl (0.500, 0.500, 0.191) (multiplicity 1)

***

(2)
The following is a DFT calculation (GGA-PBE) of NiP2 after structural relaxation.

Properties
* uncorrected energy: -0.1767 hartree per atom
* calculated formation energy: 2.18 eV/f.u.

abc: 6.894 6.894 6.894
angles: 90.00 90.00 90.00
Space group Fd-3m (No. 227, origin choice 2)
Unique sites:
Ni (0.125, 0.125, 0.125) (multiplicity 8)
P (0.000, 0.000, 0.500) (multiplicity 16)